1.
! CdFeCl2 | Alexandria | PBE | optimized geometry; values from VASP
! Energy relative to the lowest polymorph listed for this composition: 248 meV per atom
! Space-group type: Imm2, No. 44
! Energy: -13.884 eV per formula unit
&SYSTEM
  ibrav = 0, nat = 4, ntyp = 3
/
ATOMIC_SPECIES
Fe 55.84 Fe.upf
Cl 35.45 Cl.upf
Cd 112.41 Cd.upf
ATOMIC_POSITIONS crystal
Fe 0.5067 0.5067 0.0000
Cl 0.0447 0.0447 0.0000
Cl 0.6836 0.1836 0.5000
Cd 0.2651 0.7651 0.5000
CELL_PARAMETERS angstrom
-3.7562 -4.5352 0.6216
3.5906 -4.6967 0.3345
-2.0417 4.9628 2.5031

2.
! CdFeCl2 | Alexandria | PBE | optimized geometry; values from VASP
! Energy relative to the lowest polymorph listed for this composition: 454 meV per atom
! Space-group type: I-42d, No. 122
! Energy: -13.058 eV per formula unit
&SYSTEM
  ibrav = 0, nat = 8, ntyp = 3
/
ATOMIC_SPECIES
Cl 35.45 Cl.upf
Cd 112.41 Cd.upf
Fe 55.84 Fe.upf
ATOMIC_POSITIONS crystal
Cl 0.8750 0.7223 0.7500
Cl 0.2777 0.6250 0.2500
Cl 0.4723 0.1250 0.2500
Cl 0.3750 0.5277 0.7500
Cd 0.7500 0.2500 0.5000
Cd 0.0000 0.0000 0.0000
Fe 0.2500 0.7500 0.5000
Fe 0.5000 0.5000 0.0000
CELL_PARAMETERS angstrom
6.7308 0.0000 0.0000
0.0000 6.7308 0.0000
3.3654 3.3654 4.7731

3.
! CdFeCl6 | Alexandria | PBE | optimized geometry; values from VASP
! Space-group type: C2/m, No. 12
! Energy: -25.588 eV per formula unit
&SYSTEM
  ibrav = 0, nat = 8, ntyp = 3
/
ATOMIC_SPECIES
Cl 35.45 Cl.upf
Fe 55.84 Fe.upf
Cd 112.41 Cd.upf
ATOMIC_POSITIONS crystal
Cl 0.7534 0.7534 0.4122
Cl 0.3707 0.7825 0.1898
Cl 0.6293 0.2175 0.8102
Cl 0.2175 0.6293 0.8102
Cl 0.7825 0.3707 0.1898
Cl 0.2466 0.2466 0.5878
Fe 0.5000 0.5000 0.5000
Cd 0.0000 0.0000 0.0000
CELL_PARAMETERS angstrom
-4.1310 -5.4624 -1.2078
-1.9893 -3.4074 5.7266
-6.0169 0.0016 1.8579

4.
! CdFeCl2 | Alexandria | PBE | optimized geometry; values from VASP
! Energy relative to the lowest polymorph listed for this composition: 154 meV per atom
! Space-group type: Cmmm, No. 65
! Energy: -14.259 eV per formula unit
&SYSTEM
  ibrav = 0, nat = 4, ntyp = 3
/
ATOMIC_SPECIES
Cl 35.45 Cl.upf
Fe 55.84 Fe.upf
Cd 112.41 Cd.upf
ATOMIC_POSITIONS crystal
Cl 0.0000 0.0000 0.0767
Cl 0.0000 0.0000 0.4233
Fe 0.5000 0.5000 0.2500
Cd 0.5000 0.5000 0.7500
CELL_PARAMETERS angstrom
-2.0005 2.1900 -1.5599
-1.1810 -1.5297 2.7381
3.4616 7.0186 5.4143

5.
! Cd2FeCl | Alexandria | PBE | optimized geometry; values from VASP
! Energy relative to the lowest polymorph listed for this composition: 501 meV per atom
! Space-group type: Fm-3m, No. 225
! Energy: -10.018 eV per formula unit
&SYSTEM
  ibrav = 0, nat = 4, ntyp = 3
/
ATOMIC_SPECIES
Cd 112.41 Cd.upf
Cl 35.45 Cl.upf
Fe 55.84 Fe.upf
ATOMIC_POSITIONS crystal
Cd 0.2500 0.2500 0.2500
Cd 0.7500 0.7500 0.7500
Cl 0.0000 0.0000 0.0000
Fe 0.5000 0.5000 0.5000
CELL_PARAMETERS angstrom
0.0000 3.5090 3.5090
3.5090 0.0000 3.5090
3.5090 3.5090 0.0000

6.
! CdFe3Cl | Alexandria | PBE | optimized geometry; values from VASP
! Energy relative to the lowest polymorph listed for this composition: 862 meV per atom
! Space-group type: Pm-3m, No. 221
! Energy: -20.538 eV per formula unit
&SYSTEM
  ibrav = 0, nat = 5, ntyp = 3
/
ATOMIC_SPECIES
Fe 55.84 Fe.upf
Cd 112.41 Cd.upf
Cl 35.45 Cl.upf
ATOMIC_POSITIONS crystal
Fe 0.5000 0.0000 0.0000
Fe 0.0000 0.5000 0.0000
Fe 0.0000 0.0000 0.5000
Cd 0.0000 0.0000 0.0000
Cl 0.5000 0.5000 0.5000
CELL_PARAMETERS angstrom
4.9622 0.0000 0.0000
0.0000 4.9622 0.0000
0.0000 0.0000 4.9622

7.
! CdFeCl2 | Alexandria | PBE | optimized geometry; values from VASP
! Energy relative to the lowest polymorph listed for this composition: 0 meV per atom
! Space-group type: R-3m, No. 166
! Energy: -14.876 eV per formula unit
&SYSTEM
  ibrav = 0, nat = 4, ntyp = 3
/
ATOMIC_SPECIES
Cl 35.45 Cl.upf
Fe 55.84 Fe.upf
Cd 112.41 Cd.upf
ATOMIC_POSITIONS crystal
Cl 0.4670 0.4670 0.4670
Cl 0.0330 0.0330 0.0330
Fe 0.7500 0.7500 0.7500
Cd 0.2500 0.2500 0.2500
CELL_PARAMETERS angstrom
9.8596 0.0389 0.0230
9.2540 3.4025 0.0230
9.2540 1.6662 2.9667

8.
! CdFe2I6Cl2 | Alexandria | PBE | optimized geometry; values from VASP
! Space-group type: P-3, No. 147
! Energy: -35.026 eV per formula unit
&SYSTEM
  ibrav = 0, nat = 11, ntyp = 4
/
ATOMIC_SPECIES
Fe 55.84 Fe.upf
I 126.90 I.upf
Cl 35.45 Cl.upf
Cd 112.41 Cd.upf
ATOMIC_POSITIONS crystal
Fe 0.6667 0.3333 0.2607
Fe 0.3333 0.6667 0.7393
I 0.6670 0.6677 0.1794
I 0.6677 0.0007 0.8206
I 0.9993 0.6670 0.8206
I 0.0007 0.3330 0.1794
I 0.3330 0.3323 0.8206
I 0.3323 0.9993 0.1794
Cl 0.6667 0.3333 0.4744
Cl 0.3333 0.6667 0.5256
Cd 0.0000 0.0000 0.0000
CELL_PARAMETERS angstrom
7.3431 0.0003 0.0000
-3.6718 6.3592 0.0000
0.0000 0.0000 10.0530

9.
! CdInFeCl5 | Alexandria | PBE | optimized geometry; values from VASP
! Space-group type: C2/c, No. 15
! Energy: -28.219 eV per formula unit
&SYSTEM
  ibrav = 0, nat = 16, ntyp = 4
/
ATOMIC_SPECIES
Cl 35.45 Cl.upf
In 114.82 In.upf
Fe 55.84 Fe.upf
Cd 112.41 Cd.upf
ATOMIC_POSITIONS crystal
Cl 0.3192 0.9073 0.6178
Cl 0.6120 0.7507 0.9322
Cl 0.0821 0.9179 0.2500
Cl 0.7507 0.6120 0.4322
Cl 0.3880 0.2493 0.0678
Cl 0.6808 0.0927 0.3822
Cl 0.2493 0.3880 0.5678
Cl 0.9073 0.3192 0.1178
Cl 0.9179 0.0821 0.7500
Cl 0.0927 0.6808 0.8822
In 0.3416 0.6584 0.2500
In 0.6584 0.3416 0.7500
Fe 0.6847 0.3153 0.2500
Fe 0.3153 0.6847 0.7500
Cd 0.0000 0.0000 0.5000
Cd 0.0000 0.0000 0.0000
CELL_PARAMETERS angstrom
-1.1405 -5.4248 4.9566
1.0573 -3.3077 -6.5755
8.6193 3.3154 2.2513

10.
! CdInFe2Cl8 | Alexandria | PBE | optimized geometry; values from VASP
! Space-group type: C2/m, No. 12
! Energy: -45.513 eV per formula unit
&SYSTEM
  ibrav = 0, nat = 12, ntyp = 4
/
ATOMIC_SPECIES
Cl 35.45 Cl.upf
In 114.82 In.upf
Fe 55.84 Fe.upf
Cd 112.41 Cd.upf
ATOMIC_POSITIONS crystal
Cl 0.2491 0.2491 0.9865
Cl 0.7532 0.2547 0.7873
Cl 0.7509 0.7509 0.0135
Cl 0.7096 0.7096 0.4271
Cl 0.2904 0.2904 0.5729
Cl 0.7453 0.2468 0.2127
Cl 0.2468 0.7453 0.2127
Cl 0.2547 0.7532 0.7873
In 0.0000 0.0000 0.5000
Fe 0.3756 0.3756 0.7822
Fe 0.6244 0.6244 0.2178
Cd 0.0000 0.0000 0.0000
CELL_PARAMETERS angstrom
-1.3595 5.9121 2.1676
-6.0974 0.2730 2.0606
2.3219 -2.1172 8.7719

11.
! KCd2FeCl8 | Alexandria | PBE | optimized geometry; values from VASP
! Space-group type: C2/m, No. 12
! Energy: -38.285 eV per formula unit
&SYSTEM
  ibrav = 0, nat = 12, ntyp = 4
/
ATOMIC_SPECIES
Cl 35.45 Cl.upf
K 39.10 K.upf
Cd 112.41 Cd.upf
Fe 55.84 Fe.upf
ATOMIC_POSITIONS crystal
Cl 0.8002 0.2554 0.8202
Cl 0.6915 0.6915 0.4534
Cl 0.7450 0.1996 0.1800
Cl 0.1998 0.7446 0.1798
Cl 0.7850 0.7851 0.9643
Cl 0.3085 0.3085 0.5466
Cl 0.2150 0.2149 0.0357
Cl 0.2550 0.8004 0.8200
K 0.0000 0.0000 0.5000
Cd 0.3557 0.3558 0.8030
Cd 0.6443 0.6442 0.1970
Fe 0.0000 0.0000 0.0000
CELL_PARAMETERS angstrom
6.1496 1.1841 0.1014
1.1895 6.1476 0.0936
0.2018 0.2186 9.0737

12.
! K2CdFeCl6 | Alexandria | PBE | optimized geometry; values from VASP
! Space-group type: R-3, No. 148
! Energy: -35.647 eV per formula unit
&SYSTEM
  ibrav = 0, nat = 10, ntyp = 4
/
ATOMIC_SPECIES
Cl 35.45 Cl.upf
Fe 55.84 Fe.upf
K 39.10 K.upf
Cd 112.41 Cd.upf
ATOMIC_POSITIONS crystal
Cl 0.5538 0.1403 0.2957
Cl 0.1401 0.0104 0.2955
Cl 0.0786 0.4920 0.8072
Cl 0.6223 0.0780 0.8077
Cl 0.0102 0.5543 0.2951
Cl 0.4922 0.6221 0.8073
Fe 0.3163 0.3162 0.0513
K 0.0685 0.0685 0.7945
K 0.5635 0.5636 0.3094
Cd 0.8162 0.8161 0.5515
CELL_PARAMETERS angstrom
7.2223 0.0006 -0.0003
3.6116 6.2542 -0.0002
3.6105 2.0850 5.7581

Number 1: total magnetic moment 3.27 μB per formula unit. Number 2: total magnetic moment 0.00 μB per formula unit. Number 3: total magnetic moment 4.03 μB per formula unit. Number 4: total magnetic moment 3.72 μB per formula unit. Number 5: total magnetic moment 2.97 μB per formula unit. Number 6: total magnetic moment 10.23 μB per formula unit. Number 7: total magnetic moment 3.87 μB per formula unit. Number 8: total magnetic moment 10.00 μB per formula unit. Number 9: total magnetic moment 4.00 μB per formula unit. Number 10: total magnetic moment 9.00 μB per formula unit. Number 11: total magnetic moment 1.00 μB per formula unit. Number 12: total magnetic moment 4.00 μB per formula unit.